1.
The following is a DFT calculation (PBE) of Pm4CdGa12 after structural relaxation.

```
Pm4CdGa12
1.0
7.258 0.000 -2.566
-3.629 6.285 -2.566
0.000 0.000 7.698
Ga Pm Cd
12 4 1
direct
0.315 0.315 0.000 Ga
0.250 0.750 0.500 Ga
0.500 0.750 0.250 Ga
0.000 0.685 0.685 Ga
0.750 0.500 0.250 Ga
0.685 0.685 0.000 Ga
0.750 0.250 0.500 Ga
0.315 0.000 0.315 Ga
0.500 0.250 0.750 Ga
0.685 0.000 0.685 Ga
0.000 0.315 0.315 Ga
0.250 0.500 0.750 Ga
0.000 0.000 0.500 Pm
0.000 0.500 0.000 Pm
0.500 0.500 0.500 Pm
0.500 0.000 0.000 Pm
0.000 0.000 0.000 Cd
```

Results
**Energy of formation**: -0.514 eV/atom
**Calculated total energy**: -3.8227 eV per atom
**Size of the total moment**: 0.0 μB per formula unit
**Calculated density**: 7.2 g/cm³

2.
The following is a DFT calculation (PBE) of PmCd2Ga after structural relaxation.

```
PmCd2Ga
1.0
3.270 0.000 0.000
1.635 2.832 0.000
1.635 0.944 11.126
Ga Cd Pm
1 2 1
direct
0.500 0.500 0.500 Ga
0.096 0.096 0.712 Cd
0.904 0.904 0.288 Cd
0.000 0.000 0.000 Pm
```

Results
**Energy of formation**: 0.173 eV/atom
**Calculated total energy**: -2.2289 eV per atom
**Size of the total moment**: 0.0 μB per formula unit
**Calculated density**: 7.1 g/cm³

3.
The following is a DFT calculation (PBE) of PmCd4Ga2 after structural relaxation.

```
PmCd4Ga2
1.0
-2.392 -1.519 3.334
1.312 -4.124 -0.938
5.586 2.938 5.347
Ga Cd Pm
2 4 1
direct
0.500 0.576 0.152 Ga
0.500 0.424 0.848 Ga
0.000 0.318 0.636 Cd
0.500 0.823 0.646 Cd
0.000 0.682 0.364 Cd
0.500 0.177 0.354 Cd
0.000 0.000 0.000 Pm
```

Results
**Energy of formation**: -0.260 eV/atom
**Calculated total energy**: -2.3269 eV per atom
**Size of the total moment**: 0.0 μB per formula unit
**Calculated density**: 7.9 g/cm³

4.
The following is a DFT calculation (PBE) of PmCd4Ga after structural relaxation.

```
PmCd4Ga
1.0
5.917 0.000 0.000
2.958 5.124 0.000
2.958 1.708 4.831
Cd Pm Ga
4 1 1
direct
0.625 0.625 0.125 Cd
0.125 0.625 0.625 Cd
0.625 0.625 0.625 Cd
0.625 0.125 0.625 Cd
0.250 0.250 0.250 Pm
0.000 0.000 0.000 Ga
```

Results
**Energy of formation**: -0.085 eV/atom
**Calculated total energy**: -1.9917 eV per atom
**Size of the total moment**: 0.0 μB per formula unit
**Calculated density**: 7.5 g/cm³